Below is an optimized crystal structure of K2FeCoF6, with properties calculated at the PBE+U level.

a b c (Å): 5.8793 5.8793 5.8793
angles (deg): 120.05 120.05 89.91
Fractional positions:
K (0.2500, 0.7500, 0.5000)
K (0.7500, 0.2500, 0.5000)
Fe (0.0000, 0.0000, 0.0000)
Co (0.5000, 0.5000, 0.0000)
F (0.2433, 0.2433, 0.0000)
F (0.2566, 0.2566, 0.5131)
F (0.2566, 0.7434, 0.0000)
F (0.7434, 0.2566, 0.0000)
F (0.7434, 0.7434, 0.4869)
F (0.7567, 0.7567, 0.0000)

Results
The volume is 143.6 Å³/cell. The total energy is -49.51 eV per formula unit.